This record from Alexandria via LeMat-Bulk describes a geometry-optimized H12Pt5Rh3 structure. The functional is PBE.

```
80
Lattice="9.527 0.000 0.000 -3.176 8.982 0.000 -3.176 -4.491 7.778" Properties=species:S:1:pos:R:3 pbc="T T T"
Pt -0.794 7.298 0.972
Pt -0.794 0.561 4.861
Pt 2.382 1.684 0.972
Pt 3.176 -2.245 3.889
Pt -3.176 2.245 3.889
Pt 5.557 -0.561 4.861
Pt -1.588 -2.245 3.889
Pt 2.382 6.736 1.945
Pt -0.794 2.245 1.945
Pt 3.969 -2.807 6.806
Pt 4.763 0.000 0.000
Pt 0.794 -2.245 5.834
Pt 3.969 2.245 5.834
Pt 1.588 2.245 3.889
Pt 0.000 0.000 0.000
Pt 3.176 4.491 0.000
Pt -1.588 4.491 0.000
Pt 3.969 3.929 2.917
Pt -2.382 5.052 2.917
Pt 0.794 2.807 6.806
H -0.226 5.633 0.659
H 3.402 1.142 7.118
H 6.974 1.984 2.118
H 5.728 -3.088 6.666
H 2.042 0.962 2.570
H 5.218 -0.500 1.771
H 1.814 5.633 0.660
H 6.409 -2.125 5.001
H 5.896 0.462 3.437
H 3.118 1.342 4.549
H 1.814 3.348 0.659
H 6.294 1.023 0.452
H -0.964 3.088 6.666
H 1.361 -1.142 7.118
H 3.630 3.990 6.008
H -2.721 4.029 4.341
H 6.577 4.492 1.319
H 4.537 4.490 1.319
H 1.530 5.833 3.229
H -3.799 2.507 5.660
H -3.118 3.468 7.326
H -1.361 0.001 6.460
H -1.133 -0.462 3.437
H -1.645 2.125 5.001
H -2.042 4.991 6.008
H 0.964 0.581 4.548
H 4.140 1.403 1.112
H 0.058 3.148 3.229
H 4.821 2.366 2.777
H 1.361 1.142 7.120
H 3.799 -0.581 4.548
H 0.455 5.453 5.208
H -3.233 6.616 2.777
H -1.645 -3.468 7.326
H 2.211 3.910 3.230
H 1.133 3.529 5.208
H 4.140 6.998 2.118
H -0.226 3.349 0.660
H 4.821 7.959 0.452
H -2.552 7.579 1.112
H 2.721 -0.962 2.570
H 1.645 -1.342 4.549
H 4.309 4.952 4.341
H -0.455 0.500 1.771
H -0.964 -2.507 5.660
H 3.402 -1.142 7.120
H -0.623 5.072 3.230
H -3.402 -0.001 6.460
Rh -3.969 4.491 5.834
Rh 2.382 5.052 4.861
Rh 5.557 2.807 0.972
Rh 0.794 4.491 1.945
Rh -2.382 1.684 6.806
Rh 0.794 -0.561 2.917
Rh 3.969 0.561 2.917
Rh 2.382 0.000 5.834
Rh -0.794 3.929 4.861
Rh 7.145 0.000 1.945
Rh 5.557 6.175 0.972
Rh -2.382 -1.684 6.806
```

Calculated values
SG: Ia-3d, No. 230
Total energy, eV per atom: -4.477
Calculated density, g/cm3: 12.94
DOS(E_F), states/eV/atom: 0.37